Record 1
Density functional theory data (PBE) for a relaxed SrZrO2F crystal.

Geometry as extended XYZ:
```
5
Lattice="-0.757 1.169 4.008 -2.374 -3.472 0.564 3.507 -2.186 1.301" Properties=species:S:1:pos:R:3 pbc="T T T"
O -1.187 -1.736 0.282
Sr 0.188 -2.244 2.937
F 1.753 -1.093 0.650
O -0.379 0.585 2.004
Zr 0.000 0.000 0.000
```

SG ... P4/mmm
Volume ... 78 Å³/cell
Total magnetization ... 0.3 μB per cell
Formation energy without anion corrections ... -278.32 kJ per mole of atoms
E_tot ... -7.288 eV per atom


Record 2
Density functional theory data (PBE) for a relaxed SrZrO2F crystal.

Geometry as extended XYZ:
```
5
Lattice="-2.690 -3.563 -1.176 3.587 -2.867 0.478 -1.019 -0.589 4.118" Properties=species:S:1:pos:R:3 pbc="T T T"
Sr 0.000 0.000 0.000
F -0.510 -0.295 2.059
O -1.345 -1.781 -0.588
Zr -0.061 -3.509 1.710
O 1.794 -1.433 0.239
```

SG ... P4/mmm
Volume ... 91 Å³/cell
Total magnetization ... 1.0 μB per cell
Formation energy without anion corrections ... -121.49 kJ per mole of atoms
E_tot ... -5.663 eV per atom


Record 3
Density functional theory data (PBE) for a relaxed TaOF2 crystal.

Geometry as extended XYZ:
```
4
Lattice="0.000 2.646 2.646 2.646 0.000 2.646 2.646 2.646 0.000" Properties=species:S:1:pos:R:3 pbc="T T T"
O 0.000 0.000 0.000
Ta 2.646 2.646 2.646
F 1.323 1.323 1.323
F 3.970 3.970 3.970
```

SG ... Fm-3m
Volume ... 37 Å³/cell
Total magnetization ... 0.7 μB per cell
Formation energy without anion corrections ... -131.08 kJ per mole of atoms
E_tot ... -6.497 eV per atom
Excess energy over the best structure of this formula in the dataset ... 0.000 eV per atom


Record 4
Density functional theory data (PBE) for a relaxed Ta3OF crystal.

Geometry as extended XYZ:
```
5
Lattice="4.226 0.000 0.000 0.000 4.226 0.000 0.000 0.000 4.226" Properties=species:S:1:pos:R:3 pbc="T T T"
Ta 0.000 2.113 0.000
Ta 2.113 0.000 0.000
Ta 0.000 0.000 2.113
F 2.113 2.113 2.113
O 0.000 0.000 0.000
```

SG ... Pm-3m
Volume ... 75 Å³/cell
Total magnetization ... 0.0 μB per cell
Formation energy without anion corrections ... -18.94 kJ per mole of atoms
E_tot ... -8.674 eV per atom
Excess energy over the best structure of this formula in the dataset ... 0.000 eV per atom


Record 5
Density functional theory data (PBE) for a relaxed TaOF2 crystal.

Geometry as extended XYZ:
```
4
Lattice="-7.911 2.042 3.579 -6.679 4.551 3.774 -7.950 3.796 1.395" Properties=species:S:1:pos:R:3 pbc="T T T"
F -20.082 9.256 7.794
Ta -11.270 5.194 4.374
F -2.458 1.133 0.954
O 0.000 0.000 0.000
```

SG ... R-3m
Volume ... 60 Å³/cell
Total magnetization ... 1.9 μB per cell
Formation energy without anion corrections ... -84.41 kJ per mole of atoms
E_tot ... -6.013 eV per atom
Excess energy over the best structure of this formula in the dataset ... 0.484 eV per atom


Record 6
Density functional theory data (PBE) for a relaxed TaTcOF2 crystal.

Geometry as extended XYZ:
```
5
Lattice="-1.011 1.871 -3.730 -3.502 -2.468 -0.288 -2.089 2.739 1.940" Properties=species:S:1:pos:R:3 pbc="T T T"
F -1.751 -1.234 -0.144
F -0.506 0.935 -1.865
Ta 0.000 0.000 0.000
Tc -3.301 1.071 -1.039
O -1.045 1.369 0.970
```

SG ... P4/mmm
Volume ... 73 Å³/cell
Total magnetization ... 2.6 μB per cell
Formation energy without anion corrections ... -87.01 kJ per mole of atoms
E_tot ... -7.086 eV per atom
Excess energy over the best structure of this formula in the dataset ... 0.000 eV per atom


Record 7
Density functional theory data (PBE) for a relaxed TaTcOF2 crystal.

Geometry as extended XYZ:
```
5
Lattice="-3.416 -2.828 0.100 0.506 -0.455 4.383 -2.321 2.823 0.561" Properties=species:S:1:pos:R:3 pbc="T T T"
F -1.708 -1.414 0.050
F 0.253 -0.228 2.192
Ta -2.615 -0.230 2.522
O -1.160 1.411 0.280
Tc 0.000 0.000 0.000
```

SG ... P4/mmm
Volume ... 73 Å³/cell
Total magnetization ... 2.3 μB per cell
Formation energy without anion corrections ... -12.61 kJ per mole of atoms
E_tot ... -6.315 eV per atom
Excess energy over the best structure of this formula in the dataset ... 0.771 eV per atom


Record 8
Density functional theory data (PBE) for a relaxed TaTeO2F crystal.

Geometry as extended XYZ:
```
5
Lattice="-2.501 -0.570 -3.123 1.866 -3.480 -0.859 -2.805 -2.156 2.640" Properties=species:S:1:pos:R:3 pbc="T T T"
Ta 0.000 0.000 0.000
O -1.250 -0.285 -1.561
Te -1.720 -3.103 -0.671
F -1.403 -1.078 1.320
O 0.933 -1.740 -0.429
```

SG ... P4/mmm
Volume ... 72 Å³/cell
Total magnetization ... 0.5 μB per cell
Formation energy without anion corrections ... -139.70 kJ per mole of atoms
E_tot ... -6.804 eV per atom


Record 9
Density functional theory data (PBE) for a relaxed TaTeO2F crystal.

Geometry as extended XYZ:
```
5
Lattice="-3.669 -1.769 1.297 -0.250 -2.174 -3.673 2.259 -3.345 1.827" Properties=species:S:1:pos:R:3 pbc="T T T"
F 1.129 -1.673 0.913
Ta -0.830 -3.644 -0.274
Te 0.000 0.000 0.000
O -1.835 -0.885 0.648
O -0.125 -1.087 -1.836
```

SG ... P4/mmm
Volume ... 81 Å³/cell
Total magnetization ... 3.5 μB per cell
Formation energy without anion corrections ... 21.21 kJ per mole of atoms
E_tot ... -5.137 eV per atom


Record 10
Density functional theory data (PBE) for a relaxed TaTiO2F crystal.

Geometry as extended XYZ:
```
5
Lattice="4.019 0.000 0.000 0.000 4.019 0.000 0.000 0.000 4.151" Properties=species:S:1:pos:R:3 pbc="T T T"
O 2.009 0.000 0.000
O 0.000 2.009 0.000
F 0.000 0.000 2.076
Ta 0.000 0.000 0.000
Ti 2.009 2.009 2.076
```

SG ... P4/mmm
Volume ... 67 Å³/cell
Total magnetization ... 2.7 μB per cell
Formation energy without anion corrections ... -156.16 kJ per mole of atoms
E_tot ... -7.926 eV per atom


Record 11
Density functional theory data (PBE) for a relaxed TaTiOF2 crystal.

Geometry as extended XYZ:
```
5
Lattice="-3.799 -0.702 1.869 1.960 -0.546 3.779 -0.351 3.878 0.742" Properties=species:S:1:pos:R:3 pbc="T T T"
F -1.900 -0.351 0.935
Ta 0.000 0.000 0.000
Ti -1.095 1.315 3.195
O -0.176 1.939 0.371
F 0.980 -0.273 1.890
```

SG ... P4/mmm
Volume ... 73 Å³/cell
Total magnetization ... 4.4 μB per cell
Formation energy without anion corrections ... -128.80 kJ per mole of atoms
E_tot ... -7.025 eV per atom
Excess energy over the best structure of this formula in the dataset ... 0.000 eV per atom


Record 12
Density functional theory data (PBE) for a relaxed TaTiOF2 crystal.

Geometry as extended XYZ:
```
5
Lattice="4.119 0.000 0.000 0.000 4.119 0.000 0.000 0.000 3.954" Properties=species:S:1:pos:R:3 pbc="T T T"
F 2.059 0.000 0.000
Ti 0.000 0.000 0.000
O 0.000 0.000 1.977
Ta 2.059 2.059 1.977
F 0.000 2.059 0.000
```

SG ... P4/mmm
Volume ... 67 Å³/cell
Total magnetization ... 4.8 μB per cell
Formation energy without anion corrections ... -114.82 kJ per mole of atoms
E_tot ... -6.880 eV per atom
Excess energy over the best structure of this formula in the dataset ... 0.145 eV per atom


Record 13
Density functional theory data (PBE) for a relaxed TaTiO2F crystal.

Geometry as extended XYZ:
```
5
Lattice="3.956 0.000 0.000 0.000 3.956 0.000 0.000 0.000 3.908" Properties=species:S:1:pos:R:3 pbc="T T T"
F 0.000 0.000 1.954
Ti 0.000 0.000 0.000
O 1.978 0.000 0.000
Ta 1.978 1.978 1.954
O 0.000 1.978 0.000
```

SG ... P4/mmm
Volume ... 61 Å³/cell
Total magnetization ... 3.4 μB per cell
Formation energy without anion corrections ... -128.22 kJ per mole of atoms
E_tot ... -7.636 eV per atom


Record 14
Density functional theory data (PBE) for a relaxed TaTl2OF5 crystal.

Geometry as extended XYZ:
```
9
Lattice="-4.533 0.960 4.674 -0.792 -3.489 -5.524 5.186 -4.035 0.386" Properties=species:S:1:pos:R:3 pbc="T T T"
F 0.988 -5.357 -1.494
F 0.636 -3.700 -4.220
Ta 4.332 -7.420 -5.067
Tl -1.644 -3.009 -1.617
F -1.028 -1.377 0.913
F 0.867 -1.486 -1.015
F 3.857 -3.994 -1.036
O 3.547 -6.075 -4.149
Tl 1.345 -3.282 1.338
```

SG ... I4mm
Volume ... 179 Å³/cell
Total magnetization ... 0.0 μB per cell
Formation energy without anion corrections ... -249.51 kJ per mole of atoms
E_tot ... -6.019 eV per atom


Record 15
Density functional theory data (PBE) for a relaxed TaTlOF2 crystal.

Geometry as extended XYZ:
```
5
Lattice="4.444 0.000 0.000 0.000 4.444 0.000 0.000 0.000 3.997" Properties=species:S:1:pos:R:3 pbc="T T T"
Tl 2.222 2.222 1.999
O 0.000 0.000 1.999
Ta 0.000 0.000 0.000
F 0.000 2.222 0.000
F 2.222 0.000 0.000
```

SG ... P4/mmm
Volume ... 79 Å³/cell
Total magnetization ... 1.9 μB per cell
Formation energy without anion corrections ... -180.06 kJ per mole of atoms
E_tot ... -6.450 eV per atom
Excess energy over the best structure of this formula in the dataset ... 0.000 eV per atom


Record 16
Density functional theory data (PBE) for a relaxed Ta2Tl3O5F2 crystal.

Geometry as extended XYZ:
```
12
Lattice="4.058 0.000 0.000 0.000 4.058 0.000 -2.029 -2.029 11.890" Properties=species:S:1:pos:R:3 pbc="T T T"
O 0.000 2.029 2.130
Ta 0.000 0.000 9.887
O 2.029 0.000 9.761
O 0.000 2.029 9.761
Tl 0.000 0.000 0.000
O 2.029 2.029 0.000
F 0.000 0.000 7.775
F 2.029 2.029 4.115
Ta 2.029 2.029 2.003
Tl 2.029 2.029 7.607
Tl 0.000 0.000 4.283
O 2.029 0.000 2.130
```

SG ... I4/mmm
Volume ... 196 Å³/cell
Total magnetization ... 0.0 μB per cell
Formation energy without anion corrections ... -207.58 kJ per mole of atoms
E_tot ... -7.096 eV per atom


Record 17
Density functional theory data (PBE) for a relaxed TaTl2O2F4 crystal.

Geometry as extended XYZ:
```
9
Lattice="5.003 -0.147 -0.100 0.966 5.964 0.619 0.966 2.766 5.320" Properties=species:S:1:pos:R:3 pbc="T T T"
O 1.450 1.262 0.858
Tl 2.061 5.880 4.001
F 2.322 4.455 1.291
Ta 2.502 -0.073 -0.050
Tl 4.873 2.703 1.839
F 4.612 4.128 4.548
O 5.485 7.321 4.981
F 2.322 2.837 3.669
F 4.612 5.746 2.170
```

SG ... C2/m
Volume ... 151 Å³/cell
Total magnetization ... 0.0 μB per cell
Formation energy without anion corrections ... -211.54 kJ per mole of atoms
E_tot ... -5.969 eV per atom


Record 18
Density functional theory data (PBE) for a relaxed TaTlOF2 crystal.

Geometry as extended XYZ:
```
5
Lattice="4.520 0.000 0.000 0.000 4.520 0.000 0.000 0.000 4.330" Properties=species:S:1:pos:R:3 pbc="T T T"
F 0.000 2.260 0.000
Ta 2.260 2.260 2.165
Tl 0.000 0.000 0.000
O 0.000 0.000 2.165
F 2.260 0.000 0.000
```

SG ... P4/mmm
Volume ... 88 Å³/cell
Total magnetization ... 3.4 μB per cell
Formation energy without anion corrections ... -0.36 kJ per mole of atoms
E_tot ... -4.588 eV per atom
Excess energy over the best structure of this formula in the dataset ... 1.862 eV per atom


Record 19
Density functional theory data (PBE) for a relaxed UTaO4F crystal.

Geometry as extended XYZ:
```
14
Lattice="-4.277 0.053 4.410 -0.694 -5.833 1.800 3.626 -0.506 6.119" Properties=species:S:1:pos:R:3 pbc="T T T"
U -3.481 -4.594 5.583
O -1.557 -0.597 3.261
O 0.607 -3.016 7.635
U 2.136 -1.691 6.747
O -1.183 -3.395 10.085
O -2.050 -4.490 7.312
O -0.161 -2.890 2.245
O -1.951 -3.269 4.694
O 0.706 -1.795 5.018
O 0.213 -5.688 9.068
Ta -0.707 -2.153 3.886
Ta -0.637 -4.132 8.444
F 0.533 -0.165 1.104
F -1.877 -6.120 11.225
```

SG ... C2/m
Volume ... 244 Å³/cell
Total magnetization ... 4.0 μB per cell
Formation energy without anion corrections ... -291.62 kJ per mole of atoms
E_tot ... -9.429 eV per atom